Computed, not measured: crystalline PaCdB2O8 at its relaxed geometry at the PBE-GGA level of DFT.

For the energy relative to the elements, uncorrected, the calculation gives -1884 meV/atom. The total energy comes out at -7.170 eV per atom. The crystal system is trigonal. Its spin magnetization is 0.251 μB/atom.

The structure belongs to space group P-3m1 (No. 164); the cell edges are 5.2685, 5.2685 and 6.5496 Å and the angles 90.00°, 90.00° and 120.00°. Symmetry generates all atoms from Pa at (0.0000, 0.0000, 0.0000), Cd at (0.0000, 0.0000, 0.5000), B at (0.3333, 0.6667, 0.7176), O at (0.1800, 0.3601, 0.7850) and O at (0.3333, 0.6667, 0.4962).